Record 1
FeSnAs2Au | PBEsol | optimized geometry

Magnetization ... 0.9 Bohr magnetons per cell
Formation enthalpy at 0 K ... 312 meV/atom
VASP energy ... -5.1600 eV/atom
Fermi-level density of states ... 4.88 states/eV per cell
Density ... 8.8 g/cm3

Cell lengths 4.4067, 4.4067, 5.0750 Å; angles 90.00, 90.00, 90.00 degrees
Space group P4/mmm (No. 123)
Unique sites:
Fe  0.0000  0.0000  0.0000 (multiplicity 1)
Sn  0.0000  0.0000  0.5000 (multiplicity 1)
As  0.0000  0.5000  0.0000 (multiplicity 2)
Au  0.5000  0.5000  0.5000 (multiplicity 1)

---

Record 2
GaAs2AuSe | PBEsol | optimized geometry

Magnetization ... 0.5 Bohr magnetons per cell
Formation energy (no corrections) ... 0.718 eV/atom
VASP energy ... -3.5471 eV/atom
Fermi-level density of states ... 4.42 states/eV per cell
Density ... 6.5 g/cm3

Cell lengths 4.9492, 4.9492, 5.2045 Å; angles 90.00, 90.00, 90.00 degrees
Space group P4/mmm (No. 123)
Unique sites:
Ga  0.0000  0.0000  0.0000 (multiplicity 1)
As  0.0000  0.5000  0.5000 (multiplicity 2)
Au  0.5000  0.5000  0.5000 (multiplicity 1)
Se  0.5000  0.5000  0.0000 (multiplicity 1)

---

Record 3
Hf2AsPbAu | PBEsol | optimized geometry

Magnetization ... 0.0 Bohr magnetons per cell
Formation enthalpy at 0 K ... 213 meV/atom
VASP energy ... -6.5939 eV/atom
Fermi-level density of states ... 3.76 states/eV per cell
Density ... 11.8 g/cm3

Cell lengths 4.9756, 4.9756, 4.7392 Å; angles 90.00, 90.00, 90.00 degrees
Space group P4/mmm (No. 123)
Unique sites:
Hf  0.0000  0.5000  0.0000 (multiplicity 2)
As  0.0000  0.0000  0.0000 (multiplicity 1)
Pb  0.5000  0.5000  0.5000 (multiplicity 1)
Au  0.0000  0.0000  0.5000 (multiplicity 1)

---

Record 4
HfSc2AsAu | PBEsol | optimized geometry

Magnetization ... 0.9 Bohr magnetons per cell
Formation enthalpy at 0 K ... 146 meV/atom
VASP energy ... -6.4025 eV/atom
Fermi-level density of states ... 6.60 states/eV per cell
Density ... 7.8 g/cm3

Cell lengths 4.9129, 4.9129, 4.7755 Å; angles 90.00, 90.00, 90.00 degrees
Space group P4/mmm (No. 123)
Unique sites:
Hf  0.0000  0.0000  0.0000 (multiplicity 1)
Sc  0.0000  0.5000  0.5000 (multiplicity 2)
As  0.5000  0.5000  0.5000 (multiplicity 1)
Au  0.5000  0.5000  0.0000 (multiplicity 1)